# Tm4TlTe3

A geometry-optimized Tm4TlTe3 structure (PBE, Alexandria).

abc: 7.497 8.692 7.500
angles: 90.00 109.48 90.00
Space group P2/c (No. 13)
Symmetry-distinct sites (fractional):
Tm1 0.237 0.119 0.000
Tm2 0.240 0.365 0.490
Tl1 0.000 0.125 0.250
Te1 0.000 0.377 0.750
Te2 0.500 0.127 0.750
Te3 0.500 0.380 0.250

Results
D(E_F)   1.19 states/eV/f.u.
Total magnetization   0.000 μB per cell
Raw total energy   -4.71 eV per atom
E_form (uncorrected)   -23.0 kcal/mol of atoms

=====

# LiMg2AlTe

A geometry-optimized LiMg2AlTe structure (PBE, Alexandria).

abc: 5.529 5.529 4.899
angles: 90.00 90.00 90.00
Space group P4/mmm (No. 123)
Symmetry-distinct sites (fractional):
Li1 0.000 0.000 0.000
Mg1 0.000 0.500 0.500
Al1 0.500 0.500 0.000
Te1 0.000 0.000 0.500

Results
D(E_F)   3.79 states/eV/f.u.
Total magnetization   0.000 μB per cell
Raw total energy   -2.18 eV per atom
E_form (uncorrected)   5.0 kcal/mol of atoms